No. 1
BeH14I4O18 PBE-GGA optimized geometry; space-group type = No. 62; M_tot = 0.000 μB/atom; final energy = -4.809 eV/atom
1.0
-1.370 1.902 7.572
-0.280 -8.411 2.062
24.517 0.256 4.371
H I O Be
56 16 72 4
direct
0.881 0.728 0.669 H
0.181 0.788 0.830 H
0.967 0.516 0.283 H
0.004 0.145 0.399 H
0.119 0.272 0.169 H
0.549 0.822 0.600 H
0.504 0.355 0.101 H
0.451 0.178 0.400 H
0.842 0.112 0.831 H
0.342 0.388 0.831 H
0.080 0.051 0.782 H
0.951 0.322 0.100 H
0.033 0.484 0.783 H
0.033 0.484 0.717 H
0.467 0.984 0.283 H
0.342 0.388 0.669 H
0.996 0.855 0.601 H
0.496 0.645 0.601 H
0.533 0.016 0.783 H
0.451 0.178 0.100 H
0.381 0.772 0.669 H
0.819 0.212 0.170 H
0.819 0.212 0.330 H
0.951 0.322 0.400 H
0.049 0.678 0.900 H
0.004 0.145 0.101 H
0.580 0.449 0.782 H
0.319 0.288 0.330 H
0.549 0.822 0.900 H
0.658 0.612 0.331 H
0.158 0.888 0.169 H
0.420 0.551 0.282 H
0.619 0.228 0.331 H
0.420 0.551 0.218 H
0.381 0.772 0.831 H
0.119 0.272 0.331 H
0.080 0.051 0.718 H
0.881 0.728 0.831 H
0.319 0.288 0.170 H
0.496 0.645 0.899 H
0.967 0.516 0.217 H
0.181 0.788 0.670 H
0.996 0.855 0.899 H
0.533 0.016 0.717 H
0.842 0.112 0.669 H
0.920 0.949 0.282 H
0.681 0.712 0.670 H
0.681 0.712 0.830 H
0.504 0.355 0.399 H
0.920 0.949 0.218 H
0.580 0.449 0.718 H
0.619 0.228 0.169 H
0.467 0.984 0.217 H
0.158 0.888 0.331 H
0.658 0.612 0.169 H
0.049 0.678 0.600 H
0.029 0.289 0.617 I
0.267 0.521 0.991 I
0.471 0.789 0.117 I
0.767 0.979 0.991 I
0.029 0.289 0.883 I
0.233 0.021 0.009 I
0.471 0.789 0.383 I
0.767 0.979 0.509 I
0.733 0.479 0.009 I
0.529 0.211 0.883 I
0.971 0.711 0.117 I
0.733 0.479 0.491 I
0.267 0.521 0.509 I
0.529 0.211 0.617 I
0.233 0.021 0.491 I
0.971 0.711 0.383 I
0.981 0.534 0.750 O
0.473 0.266 0.376 O
0.181 0.628 0.116 O
0.527 0.734 0.876 O
0.275 0.731 0.994 O
0.973 0.234 0.124 O
0.442 0.484 0.556 O
0.027 0.766 0.624 O
0.368 0.503 0.250 O
0.819 0.372 0.616 O
0.865 0.593 0.333 O
0.588 0.996 0.557 O
0.031 0.873 0.331 O
0.912 0.496 0.057 O
0.365 0.907 0.333 O
0.275 0.731 0.506 O
0.442 0.484 0.944 O
0.725 0.269 0.006 O
0.319 0.128 0.616 O
0.635 0.093 0.833 O
0.473 0.266 0.124 O
0.132 0.003 0.750 O
0.031 0.873 0.169 O
0.718 0.210 0.194 O
0.942 0.016 0.556 O
0.969 0.127 0.669 O
0.412 0.004 0.057 O
0.058 0.984 0.444 O
0.775 0.769 0.994 O
0.725 0.269 0.494 O
0.819 0.372 0.884 O
0.588 0.996 0.943 O
0.942 0.016 0.944 O
0.868 0.997 0.250 O
0.969 0.127 0.831 O
0.088 0.504 0.943 O
0.531 0.627 0.331 O
0.558 0.516 0.444 O
0.681 0.872 0.116 O
0.019 0.466 0.250 O
0.218 0.290 0.194 O
0.135 0.407 0.833 O
0.782 0.710 0.806 O
0.225 0.231 0.006 O
0.558 0.516 0.056 O
0.635 0.093 0.667 O
0.481 0.966 0.750 O
0.632 0.497 0.750 O
0.181 0.628 0.384 O
0.973 0.234 0.376 O
0.681 0.872 0.384 O
0.282 0.790 0.694 O
0.027 0.766 0.876 O
0.319 0.128 0.884 O
0.412 0.004 0.443 O
0.218 0.290 0.306 O
0.469 0.373 0.669 O
0.865 0.593 0.167 O
0.531 0.627 0.169 O
0.058 0.984 0.056 O
0.519 0.034 0.250 O
0.365 0.907 0.167 O
0.527 0.734 0.624 O
0.135 0.407 0.667 O
0.718 0.210 0.306 O
0.469 0.373 0.831 O
0.782 0.710 0.694 O
0.912 0.496 0.443 O
0.282 0.790 0.806 O
0.775 0.769 0.506 O
0.088 0.504 0.557 O
0.225 0.231 0.494 O
0.206 0.388 0.250 Be
0.706 0.112 0.250 Be
0.794 0.612 0.750 Be
0.294 0.888 0.750 Be



No. 2
La2Ta PBE-GGA optimized geometry; energy of formation = 8.1 kcal/mol of atoms; space-group type = No. 63; M_tot = 0.000 μB/atom; final energy = -6.886 eV/atom
1.0
1.432 5.142 5.147
-5.549 -4.502 -1.979
1.768 -3.500 3.005
La Ta
4 2
direct
0.568 0.854 0.250 La
0.432 0.146 0.750 La
0.146 0.432 0.750 La
0.854 0.568 0.250 La
0.151 0.151 0.250 Ta
0.849 0.849 0.750 Ta



No. 3
RbIn2CuHg PBE-GGA optimized geometry; energy of formation = 0.8 kcal/mol of atoms; space-group type = No. 123; M_tot = 0.000 μB/atom; final energy = -2.135 eV/atom
1.0
5.211 0.000 0.000
0.000 5.211 0.000
0.000 0.000 5.527
In Cu Hg Rb
2 1 1 1
direct
0.500 0.000 0.000 In
0.000 0.500 0.000 In
0.000 0.000 0.000 Cu
0.000 0.000 0.500 Hg
0.500 0.500 0.500 Rb



No. 4
Mg2AlCr PBE-GGA optimized geometry; energy of formation = 13.1 kcal/mol of atoms; space-group type = No. 122; M_tot = 0.880 μB/atom; final energy = -3.573 eV/atom
1.0
7.723 0.000 0.000
0.000 7.723 0.000
3.862 3.862 2.775
Mg Al Cr
4 2 2
direct
0.123 0.625 0.250 Mg
0.627 0.125 0.250 Mg
0.875 0.877 0.750 Mg
0.375 0.373 0.750 Mg
0.250 0.750 0.500 Al
0.500 0.500 0.000 Al
0.000 0.000 0.000 Cr
0.750 0.250 0.500 Cr



No. 5
LaZn2Pt PBE-GGA optimized geometry; energy of formation = -2.8 kcal/mol of atoms; space-group type = No. 166; M_tot = 0.107 μB/atom; final energy = -3.500 eV/atom
1.0
-4.681 -5.288 6.188
-3.893 -7.521 4.053
-1.821 -6.692 6.330
Zn La Pt
2 1 1
direct
0.485 0.485 0.485 Zn
0.015 0.015 0.015 Zn
0.250 0.250 0.250 La
0.750 0.750 0.750 Pt



No. 6
LiY2As PBE-GGA optimized geometry; energy of formation = -13.3 kcal/mol of atoms; space-group type = No. 10; M_tot = 0.000 μB/atom; final energy = -5.451 eV/atom
1.0
3.774 0.000 0.000
0.000 3.751 0.005
0.000 3.510 6.649
Y Li As
2 1 1
direct
0.000 0.488 0.487 Y
0.000 0.012 0.013 Y
0.500 0.750 0.750 Li
0.500 0.250 0.250 As